First-principles (PBE) data for crystalline YThSnPd at its relaxed geometry, as listed in Alexandria via LeMat-Bulk.

a = 7.4462 Å, b = 7.4462 Å, c = 7.4462 Å
α = 90.00°, β = 90.00°, γ = 90.00°
Last column: nearest neighbours and their distance in Å.
Space group F-43m (No. 216)
Asymmetric unit:
Y 0.0000 0.0000 0.0000 [4 per cell]  4 Sn 3.22, 4 Pd 3.22
Th 0.0000 0.0000 0.5000 [4 per cell]  4 Sn 3.22, 4 Pd 3.22
Sn 0.2500 0.2500 0.2500 [4 per cell]  4 Th 3.22, 4 Y 3.22
Pd 0.2500 0.2500 0.7500 [4 per cell]  4 Th 3.22, 4 Y 3.22

Results
N(E_F) = 14.6 states/eV/cell
density = 8.8 g/cm³
DFT formation energy = -0.57 eV per atom

***

First-principles (PBE) data for crystalline Th4In at its relaxed geometry, as listed in Alexandria via LeMat-Bulk.

a = 5.8145 Å, b = 5.8145 Å, c = 5.8145 Å
α = 90.00°, β = 90.00°, γ = 90.00°
Last column: nearest neighbours and their distance in Å.
Space group Pm-3m (No. 221)
Asymmetric unit:
Th 0.0000 0.0000 0.0000 [1 per cell]  12 Th 4.11
Th 0.0000 0.5000 0.5000 [3 per cell]  2 In 2.91
In 0.5000 0.5000 0.5000 [1 per cell]  6 Th 2.91

Results
N(E_F) = 10.8 states/eV/cell
energy above the most stable polymorph in this dataset = 0.5874 eV per atom
density = 8.8 g/cm³
DFT formation energy = 0.84 eV per atom

***

First-principles (PBE) data for crystalline GdDyBePd at its relaxed geometry, as listed in Alexandria via LeMat-Bulk.

a = 6.9880 Å, b = 6.9880 Å, c = 6.9880 Å
α = 90.00°, β = 90.00°, γ = 90.00°
Last column: nearest neighbours and their distance in Å.
Space group F-43m (No. 216)
Asymmetric unit:
Gd 0.0000 0.0000 0.0000 [4 per cell]  4 Be 3.03, 4 Pd 3.03
Dy 0.0000 0.0000 0.5000 [4 per cell]  4 Be 3.03, 4 Pd 3.03
Be 0.2500 0.2500 0.2500 [4 per cell]  4 Gd 3.03, 4 Dy 3.03
Pd 0.2500 0.2500 0.7500 [4 per cell]  4 Gd 3.03, 4 Dy 3.03

Results
N(E_F) = 9.4 states/eV/cell
density = 8.5 g/cm³
DFT formation energy = -0.33 eV per atom

***

First-principles (PBE) data for crystalline Ca3TaCo at its relaxed geometry, as listed in Alexandria via LeMat-Bulk.

a = 5.2377 Å, b = 5.2377 Å, c = 5.2377 Å
α = 90.00°, β = 90.00°, γ = 90.00°
Last column: nearest neighbours and their distance in Å.
Space group Pm-3m (No. 221)
Asymmetric unit:
Ca 0.0000 0.0000 0.5000 [3 per cell]  2 Co 2.62
Ta 0.5000 0.5000 0.5000 [1 per cell]  12 Ca 3.70
Co 0.0000 0.0000 0.0000 [1 per cell]  6 Ca 2.62

Results
N(E_F) = 6.0 states/eV/cell
energy above the most stable polymorph in this dataset = 0.0000 eV per atom
density = 4.2 g/cm³
DFT formation energy = 1.02 eV per atom

***

First-principles (PBE) data for crystalline RbInTc2Rh at its relaxed geometry, as listed in Alexandria via LeMat-Bulk.

a = 5.2225 Å, b = 5.2225 Å, c = 5.0905 Å
α = 90.00°, β = 90.00°, γ = 90.00°
Last column: nearest neighbours and their distance in Å.
Space group P4/mmm (No. 123)
Asymmetric unit:
Rb 0.0000 0.0000 0.0000 [1 per cell]  8 Tc 3.65, 4 Rh 3.69
In 0.5000 0.5000 0.5000 [1 per cell]  2 Rh 2.55, 4 Tc 2.61
Tc 0.0000 0.5000 0.5000 [2 per cell]  2 In 2.61
Rh 0.5000 0.5000 0.0000 [1 per cell]  2 In 2.55

Results
N(E_F) = 3.5 states/eV/cell
density = 6.0 g/cm³
DFT formation energy = 1.75 eV per atom

***

First-principles (PBE) data for crystalline DyHoSiSe at its relaxed geometry, as listed in Alexandria via LeMat-Bulk.

a = 4.0909 Å, b = 4.0909 Å, c = 20.3387 Å
α = 90.00°, β = 90.00°, γ = 120.00°
Last column: nearest neighbours and their distance in Å.
Space group R3m (No. 160, hexagonal axes)
Asymmetric unit:
Dy 0.0000 0.0000 0.0000 [3 per cell]  3 Si 2.86, 3 Se 2.97
Ho 0.0000 0.0000 0.4907 [3 per cell]  3 Si 2.85, 3 Se 2.96
Si 0.0000 0.0000 0.7457 [3 per cell]  3 Ho 2.85, 3 Dy 2.86
Se 0.0000 0.0000 0.2449 [3 per cell]  3 Ho 2.96, 3 Dy 2.97

Results
electronic total energy = -69.809 eV/cell
N(E_F) = 3.7 states/eV/cell
density = 7.3 g/cm³

***

- N(E_F) of number 1 (YThSnPd)?
  14.6 states/eV/cell